(1)
# GGA-PBE LiLaMg2Tl4, optimized geometry
# DFT formation energy, eV per atom: -0.24
data_LiLaMg2Tl4
_chemical_formula_sum 'Li3 La3 Mg6 Tl12'
_space_group_name_H-M_alt 'R -3 m'
_space_group_IT_number 166
_space_group_name_Hall '-R 3 2"'
_cell_length_a 5.1227
_cell_length_b 5.1227
_cell_length_c 27.1111
_cell_angle_alpha 90.00
_cell_angle_beta 90.00
_cell_angle_gamma 120.00
loop_
_atom_site_label
_atom_site_fract_x
_atom_site_fract_y
_atom_site_fract_z
Li1 0.0000 0.0000 0.0000
La1 0.0000 0.0000 0.5000
Mg1 0.0000 0.0000 0.2511
Tl1 0.0000 0.0000 0.1113
Tl2 0.0000 0.0000 0.3693

=====

(2)
# GGA-PBE Li3La2Mg12Tl, optimized geometry
# DFT formation energy, eV per atom: 0.12
data_Li3La2Mg12Tl
_chemical_formula_sum 'Li9 La6 Mg36 Tl3'
_space_group_name_H-M_alt 'R -3 m'
_space_group_IT_number 166
_space_group_name_Hall '-R 3 2"'
_cell_length_a 10.4143
_cell_length_b 10.4143
_cell_length_c 14.9206
_cell_angle_alpha 90.00
_cell_angle_beta 90.00
_cell_angle_gamma 120.00
loop_
_atom_site_label
_atom_site_fract_x
_atom_site_fract_y
_atom_site_fract_z
Li1 0.0000 0.5000 0.0000
La1 0.0000 0.0000 0.1097
Mg1 0.0129 0.5064 0.1995
Mg2 0.0452 0.5226 0.4028
Tl1 0.0000 0.0000 0.5000

=====

(3)
# GGA-PBE Li2LaMg8Tl, optimized geometry
# DFT formation energy, eV per atom: 0.04
data_Li2LaMg8Tl
_chemical_formula_sum 'Li4 La2 Mg16 Tl2'
_space_group_name_H-M_alt 'C 1 2/m 1'
_space_group_IT_number 12
_cell_length_a 8.7497
_cell_length_b 5.9724
_cell_length_c 11.8171
_cell_angle_alpha 90.00
_cell_angle_beta 96.87
_cell_angle_gamma 90.00
loop_
_space_group_symop_operation_xyz
'x,y,z'
'-x,-y,-z'
'-x,y,-z'
'x,-y,z'
'x+1/2,y+1/2,z'
'-x+1/2,-y+1/2,-z'
'-x+1/2,y+1/2,-z'
'x+1/2,-y+1/2,z'
loop_
_atom_site_label
_atom_site_fract_x
_atom_site_fract_y
_atom_site_fract_z
Li1 0.1785 0.0000 0.3370
La1 0.0000 0.5000 0.5000
Mg1 0.0684 0.2537 0.7909
Mg2 0.1619 0.0000 0.5902
Mg3 0.1656 0.0000 0.0455
Tl1 0.0000 0.5000 0.0000

=====

(4)
# GGA-PBE Li2LaMgTl2, optimized geometry
# DFT formation energy, eV per atom: -0.28
data_Li2LaMgTl2
_chemical_formula_sum 'Li2 La1 Mg1 Tl2'
_space_group_name_H-M_alt 'P -3 m 1'
_space_group_IT_number 164
_space_group_name_Hall '-P 3 2"'
_cell_length_a 4.8756
_cell_length_b 4.8756
_cell_length_c 7.0794
_cell_angle_alpha 90.00
_cell_angle_beta 90.00
_cell_angle_gamma 120.00
loop_
_atom_site_label
_atom_site_fract_x
_atom_site_fract_y
_atom_site_fract_z
Li1 0.3333 0.6667 0.3237
La1 0.0000 0.0000 0.0000
Mg1 0.0000 0.0000 0.5000
Tl1 0.3333 0.6667 0.7474

=====

(5)
# GGA-PBE Li2La3Mg2Tl4, optimized geometry
# DFT formation energy, eV per atom: -0.23
data_Li2La3Mg2Tl4
_chemical_formula_sum 'Li2 La3 Mg2 Tl4'
_space_group_name_H-M_alt 'P -3 m 1'
_space_group_IT_number 164
_space_group_name_Hall '-P 3 2"'
_cell_length_a 5.0779
_cell_length_b 5.0779
_cell_length_c 13.8814
_cell_angle_alpha 90.00
_cell_angle_beta 90.00
_cell_angle_gamma 120.00
loop_
_atom_site_label
_atom_site_fract_x
_atom_site_fract_y
_atom_site_fract_z
Li1 0.3333 0.6667 0.1355
La1 0.0000 0.0000 0.0000
La2 0.0000 0.0000 0.2643
Mg1 0.3333 0.6667 0.5718
Tl1 0.3333 0.6667 0.3607
Tl2 0.3333 0.6667 0.8758

=====

(6)
# GGA-PBE Li2La2MgTl5, optimized geometry
# DFT formation energy, eV per atom: -0.28
data_Li2La2MgTl5
_chemical_formula_sum 'Li4 La4 Mg2 Tl10'
_space_group_name_H-M_alt 'P 4/m b m'
_space_group_IT_number 127
_space_group_name_Hall '-P 4 2ab'
_cell_length_a 11.0268
_cell_length_b 11.0268
_cell_length_c 4.1789
_cell_angle_alpha 90.00
_cell_angle_beta 90.00
_cell_angle_gamma 90.00
loop_
_atom_site_label
_atom_site_fract_x
_atom_site_fract_y
_atom_site_fract_z
Li1 0.1163 0.3837 0.0000
La1 0.1800 0.6800 0.0000
Mg1 0.0000 0.0000 0.0000
Tl1 0.0000 0.5000 0.5000
Tl2 0.0629 0.2037 0.5000

=====

(7)
# GGA-PBE LiLaMg2Tl, optimized geometry
# DFT formation energy, eV per atom: -0.07
data_LiLaMg2Tl
_chemical_formula_sum 'Li1 La1 Mg2 Tl1'
_space_group_name_H-M_alt 'P 4/m m m'
_space_group_IT_number 123
_space_group_name_Hall '-P 4 2'
_cell_length_a 4.9861
_cell_length_b 4.9861
_cell_length_c 5.0344
_cell_angle_alpha 90.00
_cell_angle_beta 90.00
_cell_angle_gamma 90.00
loop_
_atom_site_label
_atom_site_fract_x
_atom_site_fract_y
_atom_site_fract_z
Li1 0.0000 0.0000 0.0000
La1 0.5000 0.5000 0.5000
Mg1 0.0000 0.5000 0.0000
Tl1 0.0000 0.0000 0.5000

=====

(8)
# GGA-PBE LiLaMgTl2, optimized geometry
# DFT formation energy, eV per atom: -0.21
data_LiLaMgTl2
_chemical_formula_sum 'Li2 La2 Mg2 Tl4'
_space_group_name_H-M_alt 'P m m a'
_space_group_IT_number 51
_cell_length_a 5.6157
_cell_length_b 6.8428
_cell_length_c 6.7772
_cell_angle_alpha 90.00
_cell_angle_beta 90.00
_cell_angle_gamma 90.00
loop_
_space_group_symop_operation_xyz
'x,y,z'
'-x,-y,-z'
'-x+1/2,-y,z'
'x+1/2,y,-z'
'x+1/2,-y,-z'
'-x+1/2,y,z'
'-x,y,-z'
'x,-y,z'
loop_
_atom_site_label
_atom_site_fract_x
_atom_site_fract_y
_atom_site_fract_z
Li1 0.0000 0.0000 0.0000
La1 0.2500 0.5000 0.2268
Mg1 0.2500 0.0000 0.3671
Tl1 0.2500 0.2541 0.7261